Compound: Pr2ZrCu
Source: Alexandria
Functional: PBE
Structure: relaxed

Unit cell a=3.329 b=3.329 c=11.374 alpha=81.59 beta=81.59 gamma=60.00
Atoms (fractional coordinates):
Pr 0.903 0.903 0.292
Pr 0.097 0.097 0.708
Zr 0.000 0.000 0.000
Cu 0.500 0.500 0.500

## Properties
Total magnetization   0.00 Bohr magnetons per cell
Theoretical density   6.739 Mg/m³
D(E_F)   3.63 states/eV/f.u.
Energy relative to the lowest polymorph listed for this composition   0.3688 eV per atom
Uncorrected energy   -5.14 eV per atom

---

Compound: YReRh2
Source: Alexandria
Functional: PBE
Structure: relaxed

Unit cell a=4.770 b=4.770 c=5.365 alpha=81.18 beta=81.18 gamma=35.28
Atoms (fractional coordinates):
Re 0.250 0.250 0.250
Y 0.750 0.750 0.750
Rh 0.995 0.995 0.045
Rh 0.505 0.505 0.455

## Properties
Total magnetization   0.00 Bohr magnetons per cell
Theoretical density   11.476 Mg/m³
D(E_F)   4.66 states/eV/f.u.
Energy relative to the lowest polymorph listed for this composition   0.2021 eV per atom
Uncorrected energy   -8.37 eV per atom

---

Compound: Ho2ThB6
Source: Alexandria
Functional: PBE
Structure: relaxed

Unit cell a=3.971 b=5.712 c=5.712 alpha=120.00 beta=90.00 gamma=90.00
Atoms (fractional coordinates):
B 0.500 0.661 0.000
B 0.500 0.339 0.000
B 0.500 0.661 0.661
B 0.500 0.000 0.661
B 0.500 0.339 0.339
B 0.500 0.000 0.339
Ho 0.000 0.667 0.333
Ho 0.000 0.333 0.667
Th 0.000 0.000 0.000

## Properties
Total magnetization   0.00 Bohr magnetons per cell
Theoretical density   9.275 Mg/m³
D(E_F)   3.65 states/eV/f.u.
Uncorrected energy   -6.81 eV per atom

---

Compound: Pm3AlSi4
Source: Alexandria
Functional: PBE
Structure: relaxed

Unit cell a=4.415 b=5.807 c=8.320 alpha=110.43 beta=105.39 gamma=90.00
Atoms (fractional coordinates):
Pm 0.000 0.500 0.000
Pm 0.188 0.188 0.375
Pm 0.812 0.812 0.625
Si 0.375 0.575 0.751
Si 0.625 0.824 0.249
Si 0.375 0.176 0.751
Si 0.625 0.425 0.249
Al 0.500 0.000 0.000

## Properties
Total magnetization   0.00 Bohr magnetons per cell
Theoretical density   4.974 Mg/m³
Formation energy (no corrections)   -0.52 eV per atom
D(E_F)   2.04 states/eV/f.u.
Uncorrected energy   -5.49 eV per atom

---

What is the uncorrected energy in the second record?
-8.37 eV per atom